Entry from Alexandria: an optimized crystal structure of In2CoRu (GGA-PBE).

- space-group type = I-42d, No. 122
- total magnetic moment (μB per atom) = 0.262
- density (g/cm³) = 8.9
- calculated total energy (eV/atom) = -4.8767

Cell: 5.802 5.802 5.802 Å, 103.62 103.62 121.95°
Atoms (fractional coordinates):
In 0.109 0.625 0.984
In 0.375 0.359 0.484
In 0.641 0.125 0.016
In 0.875 0.891 0.516
Co 0.000 0.000 0.000
Co 0.750 0.250 0.500
Ru 0.250 0.750 0.500
Ru 0.500 0.500 0.000

=====

Entry from Alexandria: an optimized crystal structure of PuHfHg2 (GGA-PBE).

- space-group type = P4/mmm, No. 123
- total magnetic moment (μB per atom) = 1.447
- density (g/cm³) = 14.6
- excess energy over the best structure of this formula in the dataset (meV per atom) = 91
- calculated total energy (eV/atom) = -6.1959

Cell: 5.516 5.516 3.084 Å, 90.00 90.00 90.00°
Atoms (fractional coordinates):
Pu 0.000 0.000 0.000
Hf 0.500 0.500 0.000
Hg 0.000 0.500 0.500
Hg 0.500 0.000 0.500

=====

Entry from Alexandria: an optimized crystal structure of BaSnN2F (GGA-PBE).

- space-group type = P4/mmm, No. 123
- total magnetic moment (μB per atom) = 0.200
- density (g/cm³) = 4.6
- excess energy over the best structure of this formula in the dataset (meV per atom) = 1286
- ΔE_f (raw) (eV/atom) = 0.59
- calculated total energy (eV/atom) = -4.3045

Cell: 4.730 4.730 4.859 Å, 90.00 90.00 90.00°
Atoms (fractional coordinates):
Ba 0.000 0.000 0.000
Sn 0.500 0.500 0.500
N 0.000 0.500 0.000
N 0.500 0.000 0.000
F 0.000 0.000 0.500

=====

> The lowest total magnetic moment belongs to which entry?

BaSnN2F

=====

> What is the formula in the first record?

In2CoRu